Here is a geometry-optimized LiFePO4 structure from Alexandria. Energies are from PBE with a Hubbard U.

Calculated values
As for the total magnetization: 16.0 μB/cell. The calculation puts the offset from the most stable computed form at 6.3 meV/atom. For the volume, the calculation gives 369 Å³/cell.

Cell lengths 8.7783, 5.1136, 8.5932 Å; angles 90.00, 106.84, 90.00 degrees
Space group Pc (No. 7)
Unique sites:
Li1 0.0000 0.1777 0.0000 (multiplicity 2)
Li2 0.4934 0.3173 0.3877 (multiplicity 2)
Fe1 0.2466 0.1832 0.7579 (multiplicity 2)
Fe2 0.7448 0.3248 0.1440 (multiplicity 2)
P1 0.1208 0.3081 0.3754 (multiplicity 2)
P2 0.6225 0.1908 0.7764 (multiplicity 2)
O1 0.0975 0.1782 0.5305 (multiplicity 2)
O2 0.1344 0.3911 0.8975 (multiplicity 2)
O3 0.2731 0.2000 0.3394 (multiplicity 2)
O4 0.4763 0.2966 0.8254 (multiplicity 2)
O5 0.6090 0.1105 0.2542 (multiplicity 2)
O6 0.6319 0.3236 0.6166 (multiplicity 2)
O7 0.7725 0.2695 0.9158 (multiplicity 2)
O8 0.9770 0.2309 0.2284 (multiplicity 2)